Record 1
A relaxed structure of ScNb2NiPt, computed with PBEsol.

Computed properties:
* symmetry: No. 123
* total DFT energy (no corrections): -7.825 eV per atom
* ΔH_f (0 K): 0.45 eV/atom
* V: 94.7 Å³/cell

CIF file:
```
data_ScNb2NiPt
_chemical_formula_sum 'Sc1 Nb2 Ni1 Pt1'
_cell_length_a 4.4840
_cell_length_b 4.4840
_cell_length_c 4.7083
_cell_angle_alpha 90.00
_cell_angle_beta 90.00
_cell_angle_gamma 90.00
_space_group_name_H-M_alt 'P 1'
_space_group_IT_number 1
loop_
_space_group_symop_operation_xyz
'x,y,z'
loop_
_atom_site_label
_atom_site_type_symbol
_atom_site_fract_x
_atom_site_fract_y
_atom_site_fract_z
Sc1 Sc 0.5000 0.5000 0.5000
Ni1 Ni 0.0000 0.0000 0.0000
Nb1 Nb 0.0000 0.5000 0.0000
Nb2 Nb 0.5000 0.0000 0.0000
Pt1 Pt 0.0000 0.0000 0.5000
```



Record 2
A relaxed structure of FeBrCl3, computed with PBEsol.

Computed properties:
* symmetry: No. 221
* total DFT energy (no corrections): -3.533 eV per atom
* V: 101.7 Å³/cell
* ΔE_f (raw): -0.16 eV per atom

CIF file:
```
data_FeBrCl3
_chemical_formula_sum 'Fe1 Br1 Cl3'
_cell_length_a 4.6682
_cell_length_b 4.6682
_cell_length_c 4.6682
_cell_angle_alpha 90.00
_cell_angle_beta 90.00
_cell_angle_gamma 90.00
_space_group_name_H-M_alt 'P 1'
_space_group_IT_number 1
loop_
_space_group_symop_operation_xyz
'x,y,z'
loop_
_atom_site_label
_atom_site_type_symbol
_atom_site_fract_x
_atom_site_fract_y
_atom_site_fract_z
Fe1 Fe 0.0000 0.0000 0.0000
Br1 Br 0.5000 0.5000 0.5000
Cl1 Cl 0.0000 0.5000 0.0000
Cl2 Cl 0.0000 0.0000 0.5000
Cl3 Cl 0.5000 0.0000 0.0000
```



Record 3
A relaxed structure of Ba2NdBiO6, computed with PBEsol.

Computed properties:
* symmetry: No. 225
* total DFT energy (no corrections): -6.881 eV per atom
* V: 168.2 Å³/cell
* ΔE_f (raw): -2.36 eV per atom

CIF file:
```
data_Ba2NdBiO6
_chemical_formula_sum 'Ba2 Nd1 Bi1 O6'
_cell_length_a 6.1962
_cell_length_b 6.1962
_cell_length_c 6.1962
_cell_angle_alpha 60.00
_cell_angle_beta 60.00
_cell_angle_gamma 60.00
_space_group_name_H-M_alt 'P 1'
_space_group_IT_number 1
loop_
_space_group_symop_operation_xyz
'x,y,z'
loop_
_atom_site_label
_atom_site_type_symbol
_atom_site_fract_x
_atom_site_fract_y
_atom_site_fract_z
Nd1 Nd 0.5000 0.5000 0.5000
Bi1 Bi 0.0000 0.0000 0.0000
O1 O 0.7599 0.2401 0.2401
O2 O 0.2401 0.2401 0.7599
O3 O 0.7599 0.7599 0.2401
O4 O 0.2401 0.7599 0.2401
O5 O 0.2401 0.7599 0.7599
O6 O 0.7599 0.2401 0.7599
Ba1 Ba 0.7500 0.7500 0.7500
Ba2 Ba 0.2500 0.2500 0.2500
```